VASP calculation (PBE+U) on KAlMo2O8 after structural relaxation.

Values from the calculation:
Crystal system   trigonal
Fermi-level density of states   0.00 states/eV/f.u.
DFT total energy   -82.68 eV for the cell shown
Total moment   0.00 μB per formula unit
Space-group type   P-3m1

POSCAR file:
```
KAlMo2O8
1.0
-5.049 -1.013 2.291
3.390 -4.292 -1.360
2.976 0.239 6.665
O Mo K Al
8 2 1 1
Cartesian
1.462 -0.790 6.139
0.585 -3.596 6.632
2.526 -3.740 0.245
-0.145 -4.276 1.456
-0.659 -1.980 4.606
-1.208 -1.326 7.351
0.732 -1.470 0.964
1.976 -3.087 2.990
1.263 -3.144 1.393
0.054 -1.922 6.203
1.488 0.119 3.333
0.000 0.000 0.000
```